A relaxed structure of SrY3Ru, computed with GGA-PBE.

Calculated values
- Mass density: 2.889 g/cm3
- DOS(E_F): 7.816 states/eV/f.u.
- E above lowest polymorph: 1.677 eV per atom
- Energy of formation from the pure elements: 7.50 eV per formula unit
- Space group: I-4m2 (119)
- Calculated total energy: -4.570 eV/atom
- Crystal system: tetragonal

Structure (POSCAR):
```
SrY3Ru
1.0
-5.123 0.134 -7.383
-5.099 -6.563 3.419
-8.963 1.213 0.772
Y Ru Sr
6 2 2
Cartesian
-12.260 1.063 -4.431 Y
-6.943 -1.695 -6.153 Y
-8.824 -4.116 -4.892 Y
-10.370 1.014 -1.708 Y
-7.111 -0.915 -0.552 Y
-12.075 -4.300 -2.639 Y
-10.325 -0.099 -3.777 Ru
-8.873 -1.768 -4.815 Ru
0.000 0.000 0.000 Sr
-9.587 -4.282 1.105 Sr
```

=====

A relaxed structure of SrCdSn3, computed with GGA-PBE.

Calculated values
- Mass density: 5.980 g/cm3
- DOS(E_F): 2.518 states/eV/f.u.
- E above lowest polymorph: 0.000 eV per atom
- Energy of formation from the pure elements: -1.11 eV per formula unit
- Space group: C2/m (12)
- Calculated total energy: -3.142 eV/atom
- Crystal system: monoclinic

Structure (POSCAR):
```
SrCdSn3
1.0
-6.464 0.818 0.442
-0.872 -7.979 2.013
1.191 5.298 4.509
Sr Cd Sn
2 2 6
Cartesian
-1.265 0.965 3.277 Sr
-4.880 -2.827 3.687 Sr
0.000 0.000 0.000 Cd
-3.232 0.409 0.221 Cd
-4.413 0.288 5.607 Sn
-4.086 3.280 4.852 Sn
-1.563 -3.060 4.202 Sn
-4.582 1.198 2.762 Sn
-2.059 -5.142 2.112 Sn
-1.732 -2.150 1.357 Sn
```

=====

A relaxed structure of NaSr2LaO4, computed with GGA-PBE.

Calculated values
- Mass density: 4.937 g/cm3
- DOS(E_F): 0.000 states/eV/f.u.
- Formation energy from raw total energies: -2.66 eV/atom
- Space group: P2/m (10)
- Calculated total energy: -6.342 eV/atom
- Crystal system: monoclinic

Structure (POSCAR):
```
NaSr2LaO4
1.0
3.689 0.000 0.000
0.000 6.156 0.180
0.000 -2.085 5.880
Na Sr La O
1 2 1 4
Cartesian
0.000 0.000 0.000 Na
1.845 -1.042 2.940 Sr
0.000 2.036 3.030 Sr
1.845 3.078 0.090 La
1.845 1.153 1.536 O
1.845 2.918 4.524 O
0.000 0.024 4.524 O
0.000 4.047 1.536 O
```

=====

A relaxed structure of BaCa3Pt, computed with GGA-PBE.

Calculated values
- Mass density: 3.755 g/cm3
- DOS(E_F): 1.714 states/eV/f.u.
- E above lowest polymorph: 0.001 eV per atom
- Energy of formation from the pure elements: -2.30 eV per formula unit
- Space group: P2_1 (4)
- Calculated total energy: -3.254 eV/atom
- Crystal system: monoclinic

Structure (POSCAR):
```
BaCa3Pt
1.0
8.180 0.000 -0.002
0.000 6.801 0.001
0.004 -0.001 7.196
Ca Ba Pt
6 2 2
Cartesian
1.647 2.906 2.554 Ca
7.802 2.913 5.967 Ca
3.711 6.314 3.765 Ca
5.734 6.305 7.180 Ca
7.758 6.313 3.765 Ca
3.670 2.913 5.969 Ca
5.736 2.859 2.385 Ba
1.639 6.261 0.152 Ba
5.735 1.181 4.958 Pt
1.645 4.582 4.777 Pt
```

=====

A relaxed structure of CrFe3As4, computed with GGA-PBE.

Calculated values
- Mass density: 7.727 g/cm3
- DOS(E_F): 4.987 states/eV/f.u.
- Energy of formation from the pure elements: -1.60 eV per formula unit
- Space group: Pm (6)
- Calculated total energy: -6.901 eV/atom
- Crystal system: monoclinic

Structure (POSCAR):
```
CrFe3As4
1.0
-0.395 -3.435 -0.345
4.577 -0.794 2.657
-3.067 -0.165 5.155
Cr Fe As
1 3 4
Cartesian
0.153 -0.515 4.955 Cr
2.130 -0.922 6.743 Fe
1.140 -2.163 2.730 Fe
3.747 -2.542 3.515 Fe
2.971 -0.577 2.338 As
-0.375 -0.221 2.629 As
-1.695 -2.098 5.329 As
1.757 -2.459 4.974 As
```

=====

A relaxed structure of ZrPNCl2, computed with GGA-PBE.

Calculated values
- Mass density: 4.355 g/cm3
- DOS(E_F): 5.226 states/eV/f.u.
- E above lowest polymorph: 0.270 eV per atom
- Formation energy from raw total energies: 0.63 eV/atom
- Space group: P4/mmm (123)
- Calculated total energy: -4.563 eV/atom
- Crystal system: tetragonal

Structure (POSCAR):
```
ZrPNCl2
1.0
-0.407 4.180 -0.940
-3.861 -0.767 -1.740
-1.840 0.672 3.787
P N Zr Cl
1 1 1 2
Cartesian
-0.920 0.336 1.893 P
0.000 0.000 0.000 N
-3.054 2.043 0.554 Zr
-1.930 -0.383 -0.870 Cl
-0.203 2.090 -0.470 Cl
```

=====

A relaxed structure of TaReTc2, computed with GGA-PBE.

Calculated values
- Mass density: 15.018 g/cm3
- DOS(E_F): 3.774 states/eV/f.u.
- E above lowest polymorph: 0.060 eV per atom
- Energy of formation from the pure elements: -0.07 eV per formula unit
- Space group: Pm (6)
- Calculated total energy: -11.275 eV/atom
- Crystal system: monoclinic

Structure (POSCAR):
```
TaReTc2
1.0
-1.130 4.160 -0.951
-1.926 -0.070 1.981
2.688 1.676 4.138
Re Ta Tc
1 1 2
Cartesian
0.302 0.789 3.093 Re
0.023 3.293 4.130 Ta
0.827 1.601 6.018 Tc
-0.376 2.493 1.104 Tc
```

=====

A relaxed structure of NaLi2AcSn2, computed with GGA-PBE.

Calculated values
- Mass density: 5.208 g/cm3
- DOS(E_F): 5.059 states/eV/f.u.
- Energy of formation from the pure elements: -2.43 eV per formula unit
- Space group: P-3m1 (164)
- Calculated total energy: -3.282 eV/atom
- Crystal system: trigonal

Structure (POSCAR):
```
NaLi2AcSn2
1.0
4.908 0.000 0.000
-2.454 4.251 0.000
0.000 0.000 7.660
Na Li Ac Sn
1 2 1 2
Cartesian
0.000 0.000 0.000 Na
0.000 2.834 6.417 Li
2.454 1.417 1.243 Li
0.000 0.000 3.830 Ac
0.000 2.834 1.866 Sn
2.454 1.417 5.794 Sn
```

=====

A relaxed structure of LaCo2Os, computed with GGA-PBE.

Calculated values
- Mass density: 11.356 g/cm3
- DOS(E_F): 6.511 states/eV/f.u.
- E above lowest polymorph: 0.390 eV per atom
- Energy of formation from the pure elements: 1.45 eV per formula unit
- Space group: P4mm (99)
- Calculated total energy: -7.230 eV/atom
- Crystal system: tetragonal

Structure (POSCAR):
```
LaCo2Os
1.0
-0.505 -2.177 -2.035
-0.470 -1.980 2.235
-6.966 1.634 -0.018
Co La Os
2 1 1
Cartesian
-0.068 0.016 0.000 Co
-1.733 -1.786 0.097 Co
-3.410 0.800 -0.009 La
-6.214 -0.735 0.085 Os
```

=====

A relaxed structure of AlGeO2, computed with GGA-PBE.

Calculated values
- Mass density: 3.972 g/cm3
- DOS(E_F): 0.710 states/eV/f.u.
- E above lowest polymorph: 0.418 eV per atom
- Formation energy from raw total energies: -1.66 eV/atom
- Space group: I-42d (122)
- Calculated total energy: -6.232 eV/atom
- Crystal system: tetragonal

Structure (POSCAR):
```
AlGeO2
1.0
5.081 0.000 0.000
0.000 5.081 0.000
2.540 2.540 4.263
Ge Al O
2 2 4
Cartesian
0.000 0.000 0.000 Ge
5.081 2.540 2.131 Ge
2.540 2.540 0.000 Al
2.540 5.081 2.131 Al
3.174 1.270 1.066 O
1.907 3.811 1.066 O
3.811 4.448 3.197 O
6.351 5.714 3.197 O
```

=====

A relaxed structure of Al2TlCI, computed with GGA-PBE.

Calculated values
- Mass density: 4.610 g/cm3
- DOS(E_F): 2.239 states/eV/f.u.
- Formation energy from raw total energies: 1.40 eV/atom
- Space group: P4/mmm (123)
- Calculated total energy: -2.722 eV/atom
- Crystal system: tetragonal

Structure (POSCAR):
```
Al2TlCI
1.0
5.824 0.000 0.000
0.000 4.219 0.000
0.000 0.000 5.824
I C Tl Al
1 1 1 2
Cartesian
2.912 2.109 2.912 I
0.000 2.109 0.000 C
0.000 0.000 0.000 Tl
0.000 0.000 2.912 Al
2.912 0.000 0.000 Al
```

=====

A relaxed structure of ZrSc2HPt, computed with GGA-PBE.

Calculated values
- Mass density: 7.660 g/cm3
- DOS(E_F): 5.975 states/eV/f.u.
- Space group: P4/mmm (123)
- Calculated total energy: -6.665 eV/atom
- Crystal system: tetragonal

Structure (POSCAR):
```
ZrSc2HPt
1.0
4.457 0.000 0.000
0.000 4.457 0.000
0.000 0.000 4.117
Sc H Zr Pt
2 1 1 1
Cartesian
0.000 2.228 0.000 Sc
2.228 0.000 0.000 Sc
0.000 0.000 0.000 H
0.000 0.000 2.059 Zr
2.228 2.228 2.059 Pt
```

=====

A relaxed structure of ZrZn2NiPd, computed with GGA-PBE.

Calculated values
- Mass density: 6.566 g/cm3
- DOS(E_F): 5.680 states/eV/f.u.
- Energy of formation from the pure elements: 2.25 eV per formula unit
- Space group: P4/mmm (123)
- Calculated total energy: -3.964 eV/atom
- Crystal system: tetragonal

Structure (POSCAR):
```
ZrZn2NiPd
1.0
4.562 0.000 0.000
0.000 4.705 0.000
0.000 0.000 4.562
Ni Zn Zr Pd
1 2 1 1
Cartesian
0.000 2.353 0.000 Ni
0.000 0.000 2.281 Zn
2.281 0.000 0.000 Zn
2.281 2.353 2.281 Zr
0.000 0.000 0.000 Pd
```

=====

A relaxed structure of YTaCd2, computed with GGA-PBE.

Calculated values
- Mass density: 9.256 g/cm3
- DOS(E_F): 3.968 states/eV/f.u.
- E above lowest polymorph: 0.097 eV per atom
- Energy of formation from the pure elements: 0.85 eV per formula unit
- Space group: I4/mmm (139)
- Calculated total energy: -4.823 eV/atom
- Crystal system: tetragonal

Structure (POSCAR):
```
YTaCd2
1.0
5.354 -0.504 -0.404
2.114 4.945 0.404
-3.529 -2.566 3.170
Cd Ta Y
2 1 1
Cartesian
0.000 0.000 0.000 Cd
3.734 2.220 0.000 Cd
2.780 -0.425 1.383 Ta
1.160 2.300 1.787 Y
```

=====

A relaxed structure of Rb2YSnF6, computed with GGA-PBE.

Calculated values
- Mass density: 3.630 g/cm3
- DOS(E_F): 4.742 states/eV/f.u.
- Formation energy from raw total energies: -2.85 eV/atom
- Space group: I4/mmm (139)
- Calculated total energy: -5.214 eV/atom
- Crystal system: tetragonal

Structure (POSCAR):
```
Rb2YSnF6
1.0
-6.745 1.667 -0.918
-0.779 -5.501 -4.271
-4.899 -4.541 0.993
Y Sn Rb F
1 1 2 6
Cartesian
-3.762 -1.917 -2.595 Y
0.000 0.000 0.000 Sn
-7.703 -2.395 -1.260 Rb
-4.720 -5.980 -2.937 Rb
-4.308 -3.177 -0.873 F
-8.115 -5.199 -3.324 F
-2.104 -1.072 -1.451 F
-5.420 -2.762 -3.738 F
-5.077 -0.337 -1.856 F
-2.447 -3.497 -3.334 F
```

=====

A relaxed structure of BaY2Cu, computed with GGA-PBE.

Calculated values
- Mass density: 5.072 g/cm3
- DOS(E_F): 5.234 states/eV/f.u.
- E above lowest polymorph: 0.290 eV per atom
- Energy of formation from the pure elements: 1.31 eV per formula unit
- Space group: Pmmm (47)
- Calculated total energy: -4.408 eV/atom
- Crystal system: orthorhombic

Structure (POSCAR):
```
BaY2Cu
1.0
3.848 0.000 0.000
0.000 5.602 0.000
0.000 0.000 5.751
Ba Cu Y
1 1 2
Cartesian
1.924 0.000 2.875 Ba
0.000 2.801 2.875 Cu
0.000 0.000 0.000 Y
1.924 2.801 0.000 Y
```

=====

A relaxed structure of Gd2SnTe, computed with GGA-PBE.

Calculated values
- Mass density: 8.428 g/cm3
- DOS(E_F): 4.606 states/eV/f.u.
- E above lowest polymorph: 0.130 eV per atom
- Formation energy from raw total energies: -0.95 eV/atom
- Space group: P4/mmm (123)
- Calculated total energy: -9.779 eV/atom
- Crystal system: tetragonal

Structure (POSCAR):
```
Gd2SnTe
1.0
-3.108 1.290 -1.495
0.070 -2.714 -2.488
-4.369 -4.710 5.014
Gd Te Sn
2 1 1
Cartesian
-3.247 -3.501 3.727 Gd
-1.121 -1.209 1.287 Gd
-3.703 -3.067 0.515 Te
-1.519 -0.712 -1.992 Sn
```

=====

A relaxed structure of NaCa3Cd8, computed with GGA-PBE.

Calculated values
- Mass density: 5.628 g/cm3
- DOS(E_F): 7.867 states/eV/f.u.
- E above lowest polymorph: 0.014 eV per atom
- Energy of formation from the pure elements: -3.12 eV per formula unit
- Space group: R3m (160)
- Calculated total energy: -1.480 eV/atom
- Crystal system: trigonal

Structure (POSCAR):
```
NaCa3Cd8
1.0
-3.621 -2.586 -4.013
0.482 -5.865 -1.128
-7.606 -4.732 5.440
Na Ca Cd
1 3 8
Cartesian
-5.616 -9.174 -2.440 Na
-7.809 -7.303 2.806 Ca
-3.181 -8.463 -5.095 Ca
-5.338 -6.582 0.112 Ca
-4.607 -5.876 -3.242 Cd
-6.365 -9.885 0.933 Cd
-2.794 -4.581 -1.233 Cd
-8.177 -11.179 -1.076 Cd
-3.909 -3.653 1.408 Cd
-9.293 -10.248 1.570 Cd
-2.553 -7.518 -1.798 Cd
-8.419 -8.243 -0.511 Cd
```

=====

A relaxed structure of Hg6Au, computed with GGA-PBE.

Calculated values
- Mass density: 8.125 g/cm3
- DOS(E_F): 1.667 states/eV/f.u.
- E above lowest polymorph: 0.338 eV per atom
- Energy of formation from the pure elements: 2.67 eV per formula unit
- Space group: Im-3m (229)
- Calculated total energy: -0.345 eV/atom
- Crystal system: cubic

Structure (POSCAR):
```
Hg6Au
1.0
-5.543 1.582 4.300
-2.440 -3.093 -6.016
4.447 -4.523 3.388
Hg Au
6 1
Cartesian
-0.992 -4.186 -1.743 Hg
-3.489 -2.660 -1.515 Hg
0.730 -4.544 0.608 Hg
-2.543 -1.849 3.415 Hg
-0.046 -3.375 3.187 Hg
-4.265 -1.491 1.064 Hg
0.000 0.000 0.000 Au
```

=====

A relaxed structure of CaMg14Bi, computed with GGA-PBE.

Calculated values
- Mass density: 2.495 g/cm3
- DOS(E_F): 9.444 states/eV/f.u.
- E above lowest polymorph: 0.026 eV per atom
- Energy of formation from the pure elements: -0.26 eV per formula unit
- Space group: P-6m2 (187)
- Calculated total energy: -1.779 eV/atom
- Crystal system: hexagonal

Structure (POSCAR):
```
CaMg14Bi
1.0
3.290 -5.698 0.000
3.290 5.698 0.000
0.000 0.000 10.464
Ca Mg Bi
1 14 1
Cartesian
0.000 0.000 0.000 Ca
1.681 2.828 0.000 Mg
4.906 -2.833 5.232 Mg
4.898 2.828 0.000 Mg
1.673 -2.833 5.232 Mg
3.290 0.042 0.000 Mg
3.290 -0.033 5.232 Mg
3.290 3.744 2.670 Mg
3.290 3.744 7.794 Mg
1.692 0.977 2.670 Mg
1.692 0.977 7.794 Mg
4.887 0.977 2.670 Mg
4.887 0.977 7.794 Mg
3.290 -1.899 2.581 Mg
3.290 -1.899 7.882 Mg
0.000 0.000 5.232 Bi
```

=====

A relaxed structure of Pr8ErIn6, computed with GGA-PBE.

Calculated values
- Mass density: 6.611 g/cm3
- DOS(E_F): 21.564 states/eV/f.u.
- Energy of formation from the pure elements: -3.70 eV per formula unit
- Space group: R-3 (148)
- Calculated total energy: -4.196 eV/atom
- Crystal system: trigonal

Structure (POSCAR):
```
Pr8ErIn6
1.0
-1.851 1.406 -8.978
-4.852 -6.297 -4.776
-7.915 1.488 -2.925
Pr Er In
8 1 6
Cartesian
-4.829 -0.092 -6.990 Pr
-7.170 1.342 -9.469 Pr
-7.568 -1.708 -5.100 Pr
-4.492 -3.248 -9.162 Pr
-10.126 -0.155 -7.516 Pr
-7.049 -1.695 -11.578 Pr
-7.447 -4.745 -7.209 Pr
-9.788 -3.311 -9.688 Pr
0.000 0.000 0.000 Er
-7.605 1.451 -6.106 In
-4.334 -0.137 -10.268 In
-4.783 -3.295 -5.870 In
-9.834 -0.108 -10.808 In
-10.283 -3.266 -6.410 In
-7.012 -4.854 -10.573 In
```

=====

A relaxed structure of Tb2TmIn2, computed with GGA-PBE.

Calculated values
- Mass density: 8.290 g/cm3
- DOS(E_F): 5.910 states/eV/f.u.
- E above lowest polymorph: 0.021 eV per atom
- Energy of formation from the pure elements: -1.76 eV per formula unit
- Space group: Immm (71)
- Calculated total energy: -4.194 eV/atom
- Crystal system: orthorhombic

Structure (POSCAR):
```
Tb2TmIn2
1.0
4.876 0.000 0.000
2.438 5.507 -0.072
2.438 1.405 5.325
Tb Tm In
2 1 2
Cartesian
2.438 2.116 1.608 Tb
7.314 4.797 3.645 Tb
0.000 0.000 0.000 Tm
4.876 2.578 3.782 In
4.876 4.334 1.471 In
```

=====

A relaxed structure of Zr2Al3Zn, computed with GGA-PBE.

Calculated values
- Mass density: 5.200 g/cm3
- DOS(E_F): 3.186 states/eV/f.u.
- Energy of formation from the pure elements: -3.09 eV per formula unit
- Space group: R-3m (166)
- Calculated total energy: -5.448 eV/atom
- Crystal system: trigonal

Structure (POSCAR):
```
Zr2Al3Zn
1.0
-0.693 0.662 -5.177
3.556 -1.973 -3.343
-1.291 -4.149 -2.973
Zr Al Zn
2 3 1
Cartesian
0.981 -3.408 -7.172 Zr
0.591 -2.053 -4.321 Zr
1.778 -0.987 -1.672 Al
-0.347 0.331 -2.588 Al
-0.646 -2.075 -1.486 Al
0.000 0.000 0.000 Zn
```

=====

A relaxed structure of SrBePH2, computed with GGA-PBE.

Calculated values
- Mass density: 2.124 g/cm3
- DOS(E_F): 2.736 states/eV/f.u.
- Space group: P4/mmm (123)
- Calculated total energy: -2.653 eV/atom
- Crystal system: tetragonal

Structure (POSCAR):
```
SrBePH2
1.0
3.894 0.000 0.000
0.000 6.682 0.000
0.000 0.000 3.894
Sr Be H P
1 1 2 1
Cartesian
0.000 0.000 0.000 Sr
0.000 3.341 0.000 Be
0.000 0.000 1.947 H
1.947 0.000 0.000 H
1.947 3.341 1.947 P
```

=====

A relaxed structure of Tm2PuPd, computed with GGA-PBE.

Calculated values
- Mass density: 11.426 g/cm3
- DOS(E_F): 7.578 states/eV/f.u.
- E above lowest polymorph: 0.000 eV per atom
- Energy of formation from the pure elements: -1.51 eV per formula unit
- Space group: P4/mmm (123)
- Calculated total energy: -7.495 eV/atom
- Crystal system: tetragonal

Structure (POSCAR):
```
Tm2PuPd
1.0
3.466 0.000 0.000
0.000 3.466 0.000
0.000 0.000 8.329
Tm Pd Pu
2 1 1
Cartesian
0.000 0.000 6.645 Tm
0.000 0.000 1.683 Tm
1.733 1.733 0.000 Pd
1.733 1.733 4.164 Pu
```